# Li3MnN (PBE-GGA, relaxed)
data_Li3MnN
_chemical_formula_sum 'Li3 Mn1 N1'
_symmetry_space_group_name_H-M 'P m -3 m'
_symmetry_Int_Tables_number 221
_symmetry_space_group_name_Hall '-P 4 2 3'
_cell_length_a 3.9875
_cell_length_b 3.9875
_cell_length_c 3.9875
_cell_angle_alpha 90.00
_cell_angle_beta 90.00
_cell_angle_gamma 90.00
loop_
_atom_site_label
_atom_site_fract_x
_atom_site_fract_y
_atom_site_fract_z
_atom_site_occupancy
Li1 0.0000 0.0000 0.5000 1
Mn1 0.5000 0.5000 0.5000 1
N1 0.0000 0.0000 0.0000 1
# Raw formation energy ... 0.21 eV/atom
# Distance to the lowest polymorph of the same formula ... 0 meV/atom

***

# Pm5Nd2Ga4 (PBE-GGA, relaxed)
data_Pm5Nd2Ga4
_chemical_formula_sum 'Pm10 Nd4 Ga8'
_symmetry_space_group_name_H-M 'C 1 2/m 1'
_symmetry_Int_Tables_number 12
_cell_length_a 26.1518
_cell_length_b 3.5313
_cell_length_c 7.1982
_cell_angle_alpha 90.00
_cell_angle_beta 90.22
_cell_angle_gamma 90.00
loop_
_symmetry_equiv_pos_as_xyz
'x,y,z'
'-x,-y,-z'
'-x,y,-z'
'x,-y,z'
'x+1/2,y+1/2,z'
'-x+1/2,-y+1/2,-z'
'-x+1/2,y+1/2,-z'
'x+1/2,-y+1/2,z'
loop_
_atom_site_label
_atom_site_fract_x
_atom_site_fract_y
_atom_site_fract_z
_atom_site_occupancy
Pm1 0.0000 0.0000 0.0000 1
Pm2 0.1340 0.5000 0.1860 1
Pm3 0.2335 0.5000 0.7714 1
Nd1 0.0941 0.5000 0.6932 1
Ga1 0.0248 0.5000 0.3469 1
Ga2 0.1766 0.0000 0.4924 1
# Energy of formation from the pure elements ... -168 meV/atom

***

# GdMgZrZn (PBE-GGA, relaxed)
data_GdMgZrZn
_chemical_formula_sum 'Gd4 Mg4 Zr4 Zn4'
_symmetry_space_group_name_H-M 'F -4 3 m'
_symmetry_Int_Tables_number 216
_symmetry_space_group_name_Hall 'F -4 2 3'
_cell_length_a 7.1122
_cell_length_b 7.1122
_cell_length_c 7.1122
_cell_angle_alpha 90.00
_cell_angle_beta 90.00
_cell_angle_gamma 90.00
loop_
_atom_site_label
_atom_site_fract_x
_atom_site_fract_y
_atom_site_fract_z
_atom_site_occupancy
Gd1 0.0000 0.0000 0.0000 1
Mg1 0.2500 0.2500 0.2500 1
Zr1 0.0000 0.0000 0.5000 1
Zn1 0.2500 0.2500 0.7500 1
# Energy of formation from the pure elements ... -58 meV/atom

***

# Dy2Ni3P4Pt (PBE-GGA, relaxed)
data_Dy2Ni3P4Pt
_chemical_formula_sum 'Dy2 Ni3 P4 Pt1'
_symmetry_space_group_name_H-M 'P -4 m 2'
_symmetry_Int_Tables_number 115
_cell_length_a 4.0584
_cell_length_b 4.0584
_cell_length_c 9.1496
_cell_angle_alpha 90.00
_cell_angle_beta 90.00
_cell_angle_gamma 90.00
loop_
_symmetry_equiv_pos_as_xyz
'x,y,z'
'y,-x,-z'
'-x,-y,z'
'-y,x,-z'
'-x,y,z'
'-y,-x,-z'
'x,-y,z'
'y,x,-z'
loop_
_atom_site_label
_atom_site_fract_x
_atom_site_fract_y
_atom_site_fract_z
_atom_site_occupancy
Dy1 0.0000 0.5000 0.2398 1
Ni1 0.0000 0.5000 0.8868 1
Ni2 0.5000 0.5000 0.5000 1
P1 0.0000 0.0000 0.0000 1
P2 0.0000 0.5000 0.6414 1
P3 0.5000 0.5000 0.0000 1
Pt1 0.0000 0.0000 0.5000 1
# Energy of formation from the pure elements ... -973 meV/atom

***

Calculated VASP energy in order - -4.434; -4.295; -6.432; -6.396 eV/atom
Calculated D(E_F) in order - 0.35; 1.46; 0.97; 0.29 states/eV/atom
Calculated magnetization in order - 4.9; 0.0; 7.6; 0.0 μB/f.u.